Here is NaVTe2 after structural relaxation from Alexandria. Energies are from PBE.

Its density of states at the Fermi level is 2.0 states/eV/f.u. The calculation puts the volume at 35.53 Å³ per atom. The uncorrected formation energy is -36.56 kJ/mol of atoms. The value obtained for the magnetic moment is 8.0 μB/cell.

The structure belongs to space group I-42d (No. 122); the cell edges are 7.013, 7.013 and 11.558 Å and the angles 90.00°, 90.00° and 90.00°. Symmetry generates all atoms from Na at (0.000, 0.000, 0.000), V at (0.000, 0.000, 0.500) and Te at (0.188, 0.250, 0.625).